i:
A plane-wave DFT calculation with PBE-GGA was carried out for an optimized crystal structure of SbPd4Pt.

Structure (CIF):
```
data_SbPd4Pt
_cell_length_a 4.208
_cell_length_b 18.665
_cell_length_c 5.542
_cell_angle_alpha 90.00
_cell_angle_beta 90.00
_cell_angle_gamma 90.00
_symmetry_space_group_name_H-M 'C m c m'
_symmetry_Int_Tables_number 63
_symmetry_space_group_name_Hall '-C 2c 2'
loop_
_atom_site_label
_atom_site_fract_x
_atom_site_fract_y
_atom_site_fract_z
Sb1 0.000 0.161 0.250
Pd1 0.000 0.000 0.000
Pd2 0.000 0.298 0.011
Pd3 0.000 0.428 0.750
Pt1 0.000 0.429 0.250
```

ii:
A plane-wave DFT calculation with PBE-GGA was carried out for an optimized crystal structure of SbPd4Pt.

Structure (CIF):
```
data_SbPd4Pt
_cell_length_a 5.538
_cell_length_b 9.362
_cell_length_c 15.503
_cell_angle_alpha 90.00
_cell_angle_beta 90.00
_cell_angle_gamma 90.00
_symmetry_space_group_name_H-M 'F d d d'
_symmetry_Int_Tables_number 70
loop_
_symmetry_equiv_pos_as_xyz
'x,y,z'
'-x,-y,-z'
'-x+1/4,-y+1/4,z'
'x+1/4,y+1/4,-z'
'x,-y+1/4,-z+1/4'
'-x,y+1/4,z+1/4'
'-x+1/4,y,-z+1/4'
'x+1/4,-y,z+1/4'
'x,y+1/2,z+1/2'
'-x,-y+1/2,-z+1/2'
'-x+1/4,-y+3/4,z+1/2'
'x+1/4,y+3/4,-z+1/2'
'x,-y+3/4,-z+3/4'
'-x,y+3/4,z+3/4'
'-x+1/4,y+1/2,-z+3/4'
'x+1/4,-y+1/2,z+3/4'
'x+1/2,y,z+1/2'
'-x+1/2,-y,-z+1/2'
'-x+3/4,-y+1/4,z+1/2'
'x+3/4,y+1/4,-z+1/2'
'x+1/2,-y+1/4,-z+3/4'
'-x+1/2,y+1/4,z+3/4'
'-x+3/4,y,-z+3/4'
'x+3/4,-y,z+3/4'
'x+1/2,y+1/2,z'
'-x+1/2,-y+1/2,-z'
'-x+3/4,-y+3/4,z'
'x+3/4,y+3/4,-z'
'x+1/2,-y+3/4,-z+1/4'
'-x+1/2,y+3/4,z+1/4'
'-x+3/4,y+1/2,-z+1/4'
'x+3/4,-y+1/2,z+1/4'
loop_
_atom_site_label
_atom_site_fract_x
_atom_site_fract_y
_atom_site_fract_z
Sb1 0.125 0.125 0.125
Pd1 0.121 0.372 0.034
Pt1 0.125 0.125 0.625
```

Most stable one: ii, least stable one: i.